# 1
Compound: LiAg2PbCl8
Source: Alexandria
Functional: GGA-PBE
Structure: relaxed

## Properties
V in Å³/atom: 25.79

The structure in POSCAR format:
```
LiAg2PbCl8
1.0
-3.343 3.343 6.923
3.343 -3.343 6.923
3.343 3.343 -6.923
Li Ag Pb Cl
1 2 1 8
Direct
0.000 0.000 0.000 Li
0.500 0.500 0.000 Ag
0.750 0.250 0.500 Ag
0.250 0.750 0.500 Pb
0.260 0.376 0.524 Cl
0.264 0.740 0.117 Cl
0.387 0.019 0.033 Cl
0.624 0.147 0.883 Cl
0.646 0.613 0.631 Cl
0.853 0.736 0.476 Cl
0.981 0.014 0.369 Cl
0.986 0.354 0.967 Cl
```

***

# 2
Compound: Li3Ag2PbCl8
Source: Alexandria
Functional: GGA-PBE
Structure: relaxed

## Properties
V in Å³/atom: 24.29

The structure in POSCAR format:
```
Li3Ag2PbCl8
1.0
4.030 2.327 6.043
-4.030 2.327 6.043
0.000 -4.654 6.043
Li Ag Pb Cl
3 2 1 8
Direct
0.026 0.487 0.487 Li
0.487 0.026 0.487 Li
0.487 0.487 0.026 Li
0.117 0.117 0.117 Ag
0.494 0.494 0.494 Ag
0.912 0.912 0.912 Pb
0.252 0.252 0.718 Cl
0.252 0.718 0.252 Cl
0.258 0.258 0.258 Cl
0.317 0.732 0.732 Cl
0.718 0.252 0.252 Cl
0.732 0.317 0.732 Cl
0.732 0.732 0.317 Cl
0.768 0.768 0.768 Cl
```

***

# 3
Compound: LiAgPbCl4
Source: Alexandria
Functional: GGA-PBE
Structure: relaxed

## Properties
V in Å³/atom: 26.64

The structure in POSCAR format:
```
LiAgPbCl4
1.0
-3.942 4.150 5.698
3.942 -4.150 5.698
3.942 4.150 -5.698
Li Ag Pb Cl
2 2 2 8
Direct
0.500 0.000 0.000 Li
0.500 0.500 0.500 Li
0.099 0.349 0.750 Ag
0.901 0.651 0.250 Ag
0.000 0.000 0.000 Pb
0.500 0.000 0.500 Pb
0.267 0.273 0.506 Cl
0.267 0.760 0.994 Cl
0.279 0.748 0.531 Cl
0.284 0.252 0.031 Cl
0.716 0.748 0.969 Cl
0.721 0.252 0.469 Cl
0.733 0.240 0.006 Cl
0.733 0.727 0.494 Cl
```

***

# 4
Compound: LiAgPd2Cl6
Source: Alexandria
Functional: GGA-PBE
Structure: relaxed

## Properties
V in Å³/atom: 21.20

The structure in POSCAR format:
```
LiAgPd2Cl6
1.0
6.494 0.000 0.000
3.247 5.625 0.000
3.240 1.879 5.804
Li Ag Pd Cl
1 1 2 6
Direct
0.000 0.000 0.000 Li
0.479 0.480 0.564 Ag
0.194 0.194 0.418 Pd
0.689 0.689 0.934 Pd
0.051 0.832 0.689 Cl
0.305 0.580 0.181 Cl
0.429 0.052 0.689 Cl
0.580 0.934 0.181 Cl
0.832 0.429 0.689 Cl
0.934 0.305 0.181 Cl
```

***

# 5
Compound: LiAgPdCl6
Source: Alexandria
Functional: GGA-PBE
Structure: relaxed

## Properties
V in Å³/atom: 22.99

The structure in POSCAR format:
```
LiAgPdCl6
1.0
6.058 0.000 0.000
0.000 6.058 0.000
0.000 0.000 11.278
Li Ag Pd Cl
2 2 2 12
Direct
0.000 0.000 0.000 Li
0.500 0.500 0.500 Li
0.000 0.000 0.674 Ag
0.500 0.500 0.174 Ag
0.000 0.000 0.330 Pd
0.500 0.500 0.830 Pd
0.185 0.185 0.175 Cl
0.189 0.189 0.485 Cl
0.219 0.219 0.831 Cl
0.281 0.719 0.331 Cl
0.311 0.689 0.985 Cl
0.315 0.685 0.675 Cl
0.685 0.315 0.675 Cl
0.689 0.311 0.985 Cl
0.719 0.281 0.331 Cl
0.781 0.781 0.831 Cl
0.811 0.811 0.485 Cl
0.815 0.815 0.175 Cl
```

***

# 6
Compound: Li2AgPdCl8
Source: Alexandria
Functional: GGA-PBE
Structure: relaxed

## Properties
V in Å³/atom: 24.76

The structure in POSCAR format:
```
Li2AgPdCl8
1.0
6.280 0.000 0.000
1.699 6.250 0.000
1.327 0.927 7.570
Li Ag Pd Cl
2 1 1 8
Direct
0.073 0.069 0.232 Li
0.927 0.931 0.768 Li
0.500 0.500 0.500 Ag
0.500 0.500 0.000 Pd
0.190 0.819 0.498 Cl
0.208 0.827 0.989 Cl
0.286 0.342 0.239 Cl
0.340 0.364 0.804 Cl
0.660 0.636 0.196 Cl
0.714 0.658 0.761 Cl
0.792 0.173 0.011 Cl
0.810 0.181 0.502 Cl
```

***

no.,final energy (eV per atom),D(E_F) (states/eV per cell),raw formation energy (eV/atom)
1,-2.795,7.16,-0.621
2,-3.245,9.41,-1.108
3,-3.383,0.00,-1.118
4,-3.278,1.06,-0.655
5,-3.020,1.44,-0.682
6,-3.023,3.88,-0.802